(1)
# RbAlRh2I PBE optimized geometry
data_RbAlRh2I
_chemical_formula_sum 'Rb1 Al1 Rh2 I1'
_space_group_name_H-M_alt 'P 1'
_space_group_IT_number 1
_cell_length_a 5.019
_cell_length_b 5.019
_cell_length_c 5.843
_cell_angle_alpha 90.00
_cell_angle_beta 90.00
_cell_angle_gamma 90.00
loop_
_space_group_symop_operation_xyz
'x,y,z'
loop_
_atom_site_label
_atom_site_type_symbol
_atom_site_fract_x
_atom_site_fract_y
_atom_site_fract_z
Rb1 Rb 0.000 0.000 0.000
Al1 Al 0.500 0.500 0.000
Rh1 Rh 0.000 0.500 0.500
Rh2 Rh 0.500 0.000 0.500
I1 I 0.500 0.500 0.500
# N(E_F): 4.59 states/eV/f.u.
# total magnetic moment: 0.000 μB/cell
# space group: P4/mmm, No. 123
# VASP energy: -3.377 eV/atom



(2)
# Li2Ga6Pd PBE optimized geometry
data_Li2Ga6Pd
_chemical_formula_sum 'Li2 Ga6 Pd1'
_space_group_name_H-M_alt 'P 1'
_space_group_IT_number 1
_cell_length_a 7.700
_cell_length_b 7.700
_cell_length_c 2.938
_cell_angle_alpha 90.00
_cell_angle_beta 90.00
_cell_angle_gamma 119.86
loop_
_space_group_symop_operation_xyz
'x,y,z'
loop_
_atom_site_label
_atom_site_type_symbol
_atom_site_fract_x
_atom_site_fract_y
_atom_site_fract_z
Li1 Li 0.167 0.833 0.000
Li2 Li 0.833 0.167 0.000
Ga1 Ga 0.171 0.171 0.500
Ga2 Ga 0.171 0.500 0.500
Ga3 Ga 0.500 0.171 0.500
Ga4 Ga 0.500 0.829 0.500
Ga5 Ga 0.829 0.500 0.500
Ga6 Ga 0.829 0.829 0.500
Pd1 Pd 0.500 0.500 0.000
# relative energy among the computed polymorphs: 15 meV per atom
# N(E_F): 2.58 states/eV/f.u.
# DFT formation energy: -0.23 eV/atom
# total magnetic moment: 0.000 μB/cell
# space group: Cmmm, No. 65
# VASP energy: -3.250 eV/atom



(3)
# PmSnGeIr2 PBE optimized geometry
data_PmSnGeIr2
_chemical_formula_sum 'Pm2 Sn2 Ge2 Ir4'
_space_group_name_H-M_alt 'P 1'
_space_group_IT_number 1
_cell_length_a 6.822
_cell_length_b 6.822
_cell_length_c 7.463
_cell_angle_alpha 90.00
_cell_angle_beta 90.00
_cell_angle_gamma 142.02
loop_
_space_group_symop_operation_xyz
'x,y,z'
loop_
_atom_site_label
_atom_site_type_symbol
_atom_site_fract_x
_atom_site_fract_y
_atom_site_fract_z
Pm1 Pm 0.112 0.888 0.750
Pm2 Pm 0.888 0.112 0.250
Sn1 Sn 0.187 0.813 0.250
Sn2 Sn 0.813 0.187 0.750
Ge1 Ge 0.500 0.500 0.000
Ge2 Ge 0.500 0.500 0.500
Ir1 Ir 0.321 0.679 0.538
Ir2 Ir 0.321 0.679 0.962
Ir3 Ir 0.679 0.321 0.038
Ir4 Ir 0.679 0.321 0.462
# N(E_F): 1.78 states/eV/f.u.
# DFT formation energy: -0.46 eV/atom
# total magnetic moment: 0.000 μB/cell
# space group: Cmcm, No. 63
# VASP energy: -6.679 eV/atom



(4)
# CaHgPt2 PBE optimized geometry
data_CaHgPt2
_chemical_formula_sum 'Ca1 Hg1 Pt2'
_space_group_name_H-M_alt 'P 1'
_space_group_IT_number 1
_cell_length_a 5.095
_cell_length_b 5.095
_cell_length_c 5.095
_cell_angle_alpha 129.72
_cell_angle_beta 129.72
_cell_angle_gamma 73.85
loop_
_space_group_symop_operation_xyz
'x,y,z'
loop_
_atom_site_label
_atom_site_type_symbol
_atom_site_fract_x
_atom_site_fract_y
_atom_site_fract_z
Ca1 Ca 0.000 0.000 0.000
Hg1 Hg 0.500 0.500 0.000
Pt1 Pt 0.250 0.750 0.500
Pt2 Pt 0.750 0.250 0.500
# N(E_F): 1.32 states/eV/f.u.
# DFT formation energy: -0.50 eV/atom
# total magnetic moment: 0.000 μB/cell
# space group: I4/mmm, No. 139
# VASP energy: -4.096 eV/atom



(5)
# K2RbCdCu PBE optimized geometry
data_K2RbCdCu
_chemical_formula_sum 'K2 Rb1 Cd1 Cu1'
_space_group_name_H-M_alt 'P 1'
_space_group_IT_number 1
_cell_length_a 6.442
_cell_length_b 6.442
_cell_length_c 5.369
_cell_angle_alpha 90.00
_cell_angle_beta 90.00
_cell_angle_gamma 90.00
loop_
_space_group_symop_operation_xyz
'x,y,z'
loop_
_atom_site_label
_atom_site_type_symbol
_atom_site_fract_x
_atom_site_fract_y
_atom_site_fract_z
K1 K 0.000 0.500 0.000
K2 K 0.500 0.000 0.000
Rb1 Rb 0.000 0.000 0.500
Cd1 Cd 0.500 0.500 0.500
Cu1 Cu 0.500 0.500 0.000
# N(E_F): 3.65 states/eV/f.u.
# DFT formation energy: 0.15 eV/atom
# total magnetic moment: 0.000 μB/cell
# space group: P4/mmm, No. 123
# VASP energy: -1.480 eV/atom



(6)
# ThZrAgOs PBE optimized geometry
data_ThZrAgOs
_chemical_formula_sum 'Th1 Zr1 Ag1 Os1'
_space_group_name_H-M_alt 'P 1'
_space_group_IT_number 1
_cell_length_a 4.967
_cell_length_b 4.967
_cell_length_c 4.967
_cell_angle_alpha 60.00
_cell_angle_beta 60.00
_cell_angle_gamma 60.00
loop_
_space_group_symop_operation_xyz
'x,y,z'
loop_
_atom_site_label
_atom_site_type_symbol
_atom_site_fract_x
_atom_site_fract_y
_atom_site_fract_z
Th1 Th 0.000 0.000 0.000
Zr1 Zr 0.500 0.500 0.500
Ag1 Ag 0.750 0.750 0.750
Os1 Os 0.250 0.250 0.250
# N(E_F): 3.21 states/eV/f.u.
# DFT formation energy: -0.07 eV/atom
# total magnetic moment: 0.000 μB/cell
# space group: F-43m, No. 216
# VASP energy: -7.586 eV/atom



(7)
# GdErTmAg PBE optimized geometry
data_GdErTmAg
_chemical_formula_sum 'Gd1 Er1 Tm1 Ag1'
_space_group_name_H-M_alt 'P 1'
_space_group_IT_number 1
_cell_length_a 5.347
_cell_length_b 5.347
_cell_length_c 5.347
_cell_angle_alpha 60.00
_cell_angle_beta 60.00
_cell_angle_gamma 60.00
loop_
_space_group_symop_operation_xyz
'x,y,z'
loop_
_atom_site_label
_atom_site_type_symbol
_atom_site_fract_x
_atom_site_fract_y
_atom_site_fract_z
Gd1 Gd 0.000 0.000 0.000
Er1 Er 0.500 0.500 0.500
Tm1 Tm 0.250 0.250 0.250
Ag1 Ag 0.750 0.750 0.750
# N(E_F): 3.48 states/eV/f.u.
# DFT formation energy: 0.05 eV/atom
# total magnetic moment: 7.375 μB/cell
# space group: F-43m, No. 216
# VASP energy: -6.444 eV/atom



(8)
# NaAuSCl PBE optimized geometry
data_NaAuSCl
_chemical_formula_sum 'Na1 Au1 S1 Cl1'
_space_group_name_H-M_alt 'P 1'
_space_group_IT_number 1
_cell_length_a 3.584
_cell_length_b 7.243
_cell_length_c 7.243
_cell_angle_alpha 28.11
_cell_angle_beta 90.00
_cell_angle_gamma 90.00
loop_
_space_group_symop_operation_xyz
'x,y,z'
loop_
_atom_site_label
_atom_site_type_symbol
_atom_site_fract_x
_atom_site_fract_y
_atom_site_fract_z
Na1 Na 0.000 0.000 0.000
Au1 Au 0.500 0.229 0.229
S1 S 0.000 0.696 0.696
Cl1 Cl 0.500 0.437 0.437
# relative energy among the computed polymorphs: 10 meV per atom
# N(E_F): 2.09 states/eV/f.u.
# total magnetic moment: 0.000 μB/cell
# space group: Amm2, No. 38
# VASP energy: -3.306 eV/atom



(9)
# SrAsP2 PBE optimized geometry
data_SrAsP2
_chemical_formula_sum 'Sr1 As1 P2'
_space_group_name_H-M_alt 'P 1'
_space_group_IT_number 1
_cell_length_a 7.494
_cell_length_b 7.494
_cell_length_c 7.494
_cell_angle_alpha 29.58
_cell_angle_beta 29.58
_cell_angle_gamma 29.58
loop_
_space_group_symop_operation_xyz
'x,y,z'
loop_
_atom_site_label
_atom_site_type_symbol
_atom_site_fract_x
_atom_site_fract_y
_atom_site_fract_z
Sr1 Sr 0.000 0.000 0.000
As1 As 0.500 0.500 0.500
P1 P 0.234 0.234 0.234
P2 P 0.766 0.766 0.766
# N(E_F): 3.43 states/eV/f.u.
# DFT formation energy: -0.18 eV/atom
# total magnetic moment: 0.000 μB/cell
# space group: R-3m, No. 166
# VASP energy: -4.468 eV/atom